{
  "formula": "Mn3TlO6",
  "functional": "GGA+U",
  "state": "optimized geometry",
  "lattice_angstrom": [[-4.032, -0.220, 3.229], [3.302, -1.705, 4.007], [1.289, 7.889, 2.294]],
  "species": ["O", "O", "O", "O", "O", "O", "O", "O", "O", "O", "O", "O", "Mn", "Mn", "Mn", "Mn", "Mn", "Mn", "Tl", "Tl"],
  "fractional_positions": [[0.318, 0.834, 0.467], [0.160, 0.148, 0.698], [0.676, 0.239, 0.869], [0.176, 0.261, 0.369], [0.182, 0.334, 0.033], [0.840, 0.852, 0.302], [0.818, 0.666, 0.967], [0.824, 0.739, 0.631], [0.660, 0.352, 0.198], [0.324, 0.761, 0.131], [0.682, 0.166, 0.533], [0.340, 0.648, 0.802], [0.506, 0.961, 0.712], [0.000, 0.000, 0.500], [0.494, 0.039, 0.288], [0.994, 0.461, 0.788], [0.500, 0.500, 0.000], [0.006, 0.539, 0.212], [0.000, 0.000, 0.000], [0.500, 0.500, 0.500]],
  "dft_energy_ev_per_atom": -6.68,
  "density_kg_m3": 6575
}